Entry 1:
Here is a relaxed K2WSe crystal from the Alexandria database. Energies are from GGA-PBEsol.

a = 3.2945 Å, b = 3.2945 Å, c = 11.1581 Å
α = 90.00°, β = 90.00°, γ = 90.00°
Last column: nearest neighbours and their distance in Å.
Fractional coordinates of all 4 atoms:
K1 0.0000 0.0000 0.0000  1 Se 3.04, 4 K 3.29
K2 0.5000 0.5000 0.3536  1 W 3.14, 4 K 3.29
W1 0.5000 0.5000 0.6354  4 Se 2.55
Se1 0.0000 0.0000 0.7276  4 W 2.55

Values from the calculation:
E, eV/atom: -4.36
Space-group type: P4mm (99)
Formation energy without anion corrections, eV/atom: 0.62
Crystal system: tetragonal



Entry 2:
Here is a relaxed KYSe2 crystal from the Alexandria database. Energies are from GGA-PBEsol.

a = 8.1663 Å, b = 8.1663 Å, c = 8.1663 Å
α = 153.55°, β = 151.89°, γ = 38.98°
Last column: nearest neighbours and their distance in Å.
Fractional coordinates of all 4 atoms:
K1 0.0000 0.0000 0.0000  6 Se 3.22-3.44
Y1 0.2582 0.7582 0.5000  6 Se 2.74-2.97
Se1 0.3886 0.3886 0.0000  2 Y 2.74
Se2 0.6823 0.1823 0.5000  4 Y 2.97

Values from the calculation:
E, eV/atom: -5.49
Space-group type: Imm2 (44)
Formation energy without anion corrections, eV/atom: -1.57
Crystal system: orthorhombic



Which formula does entry 1 have?
K2WSe